1.
ZrTa2Be: optimized geometry, PBE.

Summary:
- M_tot: 0.000 Bohr magnetons per cell

Unit cell a=4.622 b=4.622 c=4.622 alpha=60.00 beta=60.00 gamma=60.00
Sites, in units of the cell vectors:
Ta 0.250 0.250 0.250
Zr 0.750 0.750 0.750
Be 0.500 0.500 0.500
Ta 0.000 0.000 0.000

***

2.
ZrTaBe2: optimized geometry, PBE.

Summary:
- M_tot: 0.000 Bohr magnetons per cell

Unit cell a=7.103 b=7.103 c=7.103 alpha=26.30 beta=26.30 gamma=26.30
Sites, in units of the cell vectors:
Be 0.996 0.996 0.996
Zr 0.750 0.750 0.750
Ta 0.250 0.250 0.250
Be 0.504 0.504 0.504

***

3.
ZrTaBe2: optimized geometry, PBE.

Summary:
- M_tot: 0.000 Bohr magnetons per cell

Unit cell a=4.438 b=4.438 c=4.438 alpha=60.00 beta=60.00 gamma=60.00
Sites, in units of the cell vectors:
Be 0.250 0.250 0.250
Ta 0.500 0.500 0.500
Zr 0.750 0.750 0.750
Be 0.000 0.000 0.000

***

4.
ZrTa2Be: optimized geometry, PBE.

Summary:
- M_tot: 0.000 Bohr magnetons per cell

Unit cell a=5.099 b=5.099 c=4.994 alpha=75.56 beta=75.56 gamma=33.94
Sites, in units of the cell vectors:
Zr 0.521 0.521 0.460
Ta 0.741 0.741 0.770
Be 0.265 0.265 0.265
Ta 0.973 0.973 0.006

***

5.
ZrTaBe3: optimized geometry, PBE.

Summary:
- M_tot: 0.000 Bohr magnetons per cell

Unit cell a=4.340 b=4.340 c=4.340 alpha=90.00 beta=90.00 gamma=90.00
Sites, in units of the cell vectors:
Ta 0.000 0.000 0.000
Be 0.500 0.000 0.000
Be 0.000 0.000 0.500
Zr 0.500 0.500 0.500
Be 0.000 0.500 0.000

***

6.
ZrTaBe2: optimized geometry, PBE.

Summary:
- M_tot: 0.000 Bohr magnetons per cell

Unit cell a=5.081 b=5.081 c=5.081 alpha=137.35 beta=137.35 gamma=61.90
Sites, in units of the cell vectors:
Zr 0.750 0.250 0.500
Be 0.250 0.750 0.500
Be 0.000 0.000 0.000
Ta 0.500 0.500 0.000

***

7.
ZrTa2Be: optimized geometry, PBE.

Summary:
- M_tot: 0.000 Bohr magnetons per cell

Unit cell a=4.779 b=2.981 c=4.998 alpha=83.85 beta=90.00 gamma=90.00
Sites, in units of the cell vectors:
Ta 0.000 0.543 0.508
Ta 0.000 0.957 0.992
Zr 0.500 0.250 0.250
Be 0.500 0.750 0.750

***

8.
Zr2TaBe: optimized geometry, PBE.

Summary:
- M_tot: 0.000 Bohr magnetons per cell

Unit cell a=4.255 b=4.255 c=4.082 alpha=90.00 beta=90.00 gamma=90.00
Sites, in units of the cell vectors:
Be 0.500 0.000 0.500
Zr 0.000 0.000 0.000
Ta 0.000 0.500 0.500
Zr 0.500 0.500 0.000

***

9.
ZrTa2Be: optimized geometry, PBE.

Summary:
- M_tot: 0.000 Bohr magnetons per cell

Unit cell a=2.839 b=2.839 c=8.468 alpha=90.00 beta=90.00 gamma=90.05
Sites, in units of the cell vectors:
Ta 0.000 0.000 0.951
Be 0.500 0.500 0.750
Ta 0.000 0.000 0.549
Zr 0.500 0.500 0.250

***

10.
ZrTaBe2: optimized geometry, PBE.

Summary:
- M_tot: 0.000 Bohr magnetons per cell

Unit cell a=6.868 b=6.868 c=5.522 alpha=51.54 beta=51.54 gamma=90.00
Sites, in units of the cell vectors:
Be 0.875 0.888 0.750
Be 0.375 0.362 0.750
Be 0.638 0.125 0.250
Be 0.112 0.625 0.250
Zr 0.500 0.500 0.000
Ta 0.000 0.000 0.000
Zr 0.250 0.750 0.500
Ta 0.750 0.250 0.500

***

11.
Zr2TaBe: optimized geometry, PBE.

Summary:
- M_tot: 0.000 Bohr magnetons per cell

Unit cell a=5.225 b=5.225 c=5.019 alpha=74.83 beta=74.83 gamma=34.16
Sites, in units of the cell vectors:
Ta 0.250 0.250 0.250
Be 0.750 0.750 0.750
Zr 0.025 0.025 0.975
Zr 0.475 0.475 0.525

***

12.
ZrTa2Be9: optimized geometry, PBE.

Summary:
- M_tot: 0.000 Bohr magnetons per cell

Unit cell a=4.612 b=4.612 c=14.275 alpha=90.00 beta=90.00 gamma=120.00
Sites, in units of the cell vectors:
Ta 0.333 0.667 0.537
Be 0.661 0.830 0.125
Be 0.667 0.333 0.750
Zr 0.333 0.667 0.750
Be 0.170 0.339 0.375
Be 0.170 0.830 0.125
Be 0.000 0.000 0.000
Be 0.339 0.170 0.625
Be 0.333 0.667 0.250
Be 0.000 0.000 0.750
Ta 0.667 0.333 0.037
Be 0.170 0.830 0.375
Be 0.830 0.661 0.875
Be 0.830 0.170 0.875
Be 0.339 0.170 0.875
Be 0.661 0.830 0.375
Be 0.000 0.000 0.500
Be 0.000 0.000 0.250
Ta 0.333 0.667 0.963
Be 0.830 0.170 0.625
Be 0.170 0.339 0.125
Ta 0.667 0.333 0.463
Zr 0.667 0.333 0.250
Be 0.830 0.661 0.625

***

13.
Zr2TaBe2: optimized geometry, PBE.

Summary:
- M_tot: 0.000 Bohr magnetons per cell

Unit cell a=7.134 b=7.134 c=3.229 alpha=90.00 beta=90.00 gamma=90.00
Sites, in units of the cell vectors:
Zr 0.681 0.819 0.500
Be 0.612 0.112 0.000
Ta 0.500 0.500 0.000
Be 0.112 0.388 0.000
Be 0.888 0.612 0.000
Be 0.388 0.888 0.000
Zr 0.319 0.181 0.500
Zr 0.819 0.319 0.500
Zr 0.181 0.681 0.500
Ta 0.000 0.000 0.000

***

14.
ZrTaBe2: optimized geometry, PBE.

Summary:
- M_tot: 0.000 Bohr magnetons per cell

Unit cell a=4.488 b=4.488 c=2.884 alpha=90.00 beta=90.00 gamma=90.00
Sites, in units of the cell vectors:
Ta 0.500 0.000 0.500
Zr 0.000 0.500 0.500
Be 0.500 0.500 0.000
Be 0.000 0.000 0.000

***

15.
ZrTaBe2: optimized geometry, PBE.

Summary:
- M_tot: 0.000 Bohr magnetons per cell

Unit cell a=2.982 b=3.472 c=5.669 alpha=90.00 beta=90.00 gamma=90.00
Sites, in units of the cell vectors:
Ta 0.500 0.500 0.250
Be 0.000 0.000 0.041
Zr 0.500 0.500 0.750
Be 0.000 0.000 0.459

***

16.
ZrTaBe: optimized geometry, PBE.

Summary:
- M_tot: 0.000 Bohr magnetons per cell

Unit cell a=4.221 b=4.221 c=4.221 alpha=60.00 beta=60.00 gamma=60.00
Sites, in units of the cell vectors:
Ta 0.000 0.000 0.000
Zr 0.500 0.500 0.500
Be 0.750 0.750 0.750

***

17.
Zr2TaBe: optimized geometry, PBE.

Summary:
- M_tot: 0.000 Bohr magnetons per cell

Unit cell a=9.031 b=9.031 c=9.031 alpha=20.02 beta=20.02 gamma=20.02
Sites, in units of the cell vectors:
Zr 0.005 0.005 0.005
Be 0.496 0.496 0.496
Ta 0.764 0.764 0.764
Zr 0.234 0.234 0.234

***

18.
ZrTaBe2: optimized geometry, PBE.

Summary:
- M_tot: 0.000 Bohr magnetons per cell

Unit cell a=5.209 b=5.209 c=4.425 alpha=64.88 beta=64.88 gamma=33.00
Sites, in units of the cell vectors:
Be 0.286 0.286 0.214
Be 0.966 0.966 0.034
Zr 0.735 0.735 0.765
Ta 0.513 0.513 0.486

***

19.
ZrTaBe: optimized geometry, PBE.

Summary:
- M_tot: 0.000 Bohr magnetons per cell

Unit cell a=5.172 b=5.043 c=9.142 alpha=81.66 beta=73.57 gamma=59.15
Sites, in units of the cell vectors:
Ta 0.922 0.156 0.500
Be 0.626 0.500 0.747
Zr 0.329 0.500 0.341
Zr 0.171 0.500 0.659
Ta 0.578 0.844 0.500
Be 0.874 0.500 0.253
Be 0.124 0.000 0.753
Ta 0.172 0.656 0.000
Zr 0.579 0.000 0.841
Ta 0.828 0.344 0.000
Be 0.876 0.000 0.247
Zr 0.421 0.000 0.159

***

20.
ZrTa3Be: optimized geometry, PBE.

Summary:
- M_tot: 0.000 Bohr magnetons per cell

Unit cell a=4.512 b=4.512 c=4.512 alpha=90.00 beta=90.00 gamma=90.00
Sites, in units of the cell vectors:
Ta 0.500 0.000 0.000
Ta 0.000 0.000 0.500
Zr 0.500 0.500 0.500
Ta 0.000 0.500 0.000
Be 0.000 0.000 0.000

***

21.
Zr2TaBe: optimized geometry, PBE.

Summary:
- M_tot: 0.000 Bohr magnetons per cell

Unit cell a=5.417 b=5.417 c=5.019 alpha=72.09 beta=72.09 gamma=32.32
Sites, in units of the cell vectors:
Ta 0.216 0.216 0.251
Be 0.519 0.519 0.527
Zr 0.988 0.988 0.029
Zr 0.777 0.777 0.694

***

22.
ZrTa2Be: optimized geometry, PBE.

Summary:
- M_tot: 0.000 Bohr magnetons per cell

Unit cell a=2.851 b=2.851 c=8.423 alpha=90.00 beta=90.00 gamma=90.00
Sites, in units of the cell vectors:
Zr 0.000 0.000 0.539
Ta 0.500 0.500 0.239
Ta 0.000 0.000 0.961
Be 0.500 0.500 0.761

***

23.
Zr2TaBe: optimized geometry, PBE.

Summary:
- M_tot: 0.000 Bohr magnetons per cell

Unit cell a=4.697 b=4.697 c=4.697 alpha=60.00 beta=60.00 gamma=60.00
Sites, in units of the cell vectors:
Zr 0.250 0.250 0.250
Zr 0.000 0.000 0.000
Ta 0.750 0.750 0.750
Be 0.500 0.500 0.500

***

24.
ZrTa2Be: optimized geometry, PBE.

Summary:
- M_tot: 0.000 Bohr magnetons per cell

Unit cell a=7.470 b=7.470 c=5.878 alpha=50.55 beta=50.55 gamma=90.00
Sites, in units of the cell vectors:
Ta 0.575 0.125 0.250
Ta 0.175 0.625 0.250
Be 0.500 0.500 0.000
Ta 0.375 0.425 0.750
Zr 0.750 0.250 0.500
Be 0.250 0.750 0.500
Zr 0.000 0.000 0.000
Ta 0.875 0.825 0.750

***

25.
ZrTaBe: optimized geometry, PBE.

Summary:
- M_tot: 0.000 Bohr magnetons per cell

Unit cell a=5.234 b=5.234 c=5.234 alpha=145.92 beta=140.74 gamma=52.95
Sites, in units of the cell vectors:
Ta 0.355 0.355 0.000
Be 0.985 0.985 0.000
Zr 0.660 0.660 0.000

***

26.
ZrTaBe: optimized geometry, PBE.

Summary:
- M_tot: 0.000 Bohr magnetons per cell

Unit cell a=6.295 b=6.295 c=2.894 alpha=76.71 beta=76.70 gamma=26.58
Sites, in units of the cell vectors:
Ta 0.355 0.355 0.645
Zr 0.651 0.651 0.349
Be 0.993 0.993 0.007

***

27.
ZrTa2Be: optimized geometry, PBE.

Summary:
- M_tot: 0.000 Bohr magnetons per cell

Unit cell a=5.068 b=5.068 c=5.068 alpha=132.26 beta=132.26 gamma=69.81
Sites, in units of the cell vectors:
Ta 0.000 0.000 0.000
Ta 0.250 0.750 0.500
Zr 0.500 0.500 0.000
Be 0.750 0.250 0.500

***

28.
TbBe: optimized geometry, PBE.

Summary:
- M_tot: 0.000 Bohr magnetons per cell

Unit cell a=3.419 b=3.419 c=3.419 alpha=90.00 beta=90.00 gamma=90.00
Sites, in units of the cell vectors:
Tb 0.000 0.000 0.000
Be 0.500 0.500 0.500

***

Number 1: formation enthalpy at 0 K 0.22 eV/atom, D(E_F) 1.60 states/eV/atom, final energy -35.1 eV per formula unit. Number 2: formation enthalpy at 0 K 0.30 eV/atom, D(E_F) 0.60 states/eV/atom, final energy -26.6 eV per formula unit. Number 3: formation enthalpy at 0 K 0.65 eV/atom, D(E_F) 1.17 states/eV/atom, final energy -25.2 eV per formula unit. Number 4: formation enthalpy at 0 K 0.24 eV/atom, D(E_F) 0.85 states/eV/atom, final energy -35.0 eV per formula unit. Number 5: formation enthalpy at 0 K 1.00 eV/atom, D(E_F) 1.41 states/eV/atom, final energy -26.6 eV per formula unit. Number 6: formation enthalpy at 0 K 0.16 eV/atom, D(E_F) 0.60 states/eV/atom, final energy -27.2 eV per formula unit. Number 7: formation enthalpy at 0 K 0.26 eV/atom, D(E_F) 0.98 states/eV/atom, final energy -34.9 eV per formula unit. Number 8: formation enthalpy at 0 K 0.13 eV/atom, D(E_F) 0.75 states/eV/atom, final energy -32.2 eV per formula unit. Number 9: formation enthalpy at 0 K 0.12 eV/atom, D(E_F) 1.12 states/eV/atom, final energy -35.5 eV per formula unit. Number 10: formation enthalpy at 0 K 0.46 eV/atom, D(E_F) 0.71 states/eV/atom, final energy -26.0 eV per formula unit. Number 11: formation enthalpy at 0 K 0.27 eV/atom, D(E_F) 0.98 states/eV/atom, final energy -31.6 eV per formula unit. Number 12: formation enthalpy at 0 K -0.25 eV/atom, D(E_F) 0.41 states/eV/atom, final energy -68.8 eV per formula unit. Number 13: formation enthalpy at 0 K -0.01 eV/atom, D(E_F) 1.19 states/eV/atom, final energy -36.4 eV per formula unit. Number 14: formation enthalpy at 0 K 0.02 eV/atom, D(E_F) 0.29 states/eV/atom, final energy -27.8 eV per formula unit. Number 15: formation enthalpy at 0 K -0.03 eV/atom, D(E_F) 0.52 states/eV/atom, final energy -28.0 eV per formula unit. Number 16: formation enthalpy at 0 K 0.32 eV/atom, D(E_F) 0.65 states/eV/atom, final energy -23.2 eV per formula unit. Number 17: formation enthalpy at 0 K 0.24 eV/atom, D(E_F) 0.75 states/eV/atom, final energy -31.7 eV per formula unit. Number 18: formation enthalpy at 0 K 0.05 eV/atom, D(E_F) 0.47 states/eV/atom, final energy -27.6 eV per formula unit. Number 19: formation enthalpy at 0 K -0.05 eV/atom, D(E_F) 1.19 states/eV/atom, final energy -24.3 eV per formula unit. Number 20: formation enthalpy at 0 K 0.48 eV/atom, D(E_F) 1.07 states/eV/atom, final energy -45.5 eV per formula unit. Number 21: formation enthalpy at 0 K 0.13 eV/atom, D(E_F) 0.93 states/eV/atom, final energy -32.2 eV per formula unit. Number 22: formation enthalpy at 0 K 0.12 eV/atom, D(E_F) 1.08 states/eV/atom, final energy -35.5 eV per formula unit. Number 23: formation enthalpy at 0 K 0.31 eV/atom, D(E_F) 1.28 states/eV/atom, final energy -31.4 eV per formula unit. Number 24: formation enthalpy at 0 K 0.51 eV/atom, D(E_F) 0.89 states/eV/atom, final energy -33.9 eV per formula unit. Number 25: formation enthalpy at 0 K 0.09 eV/atom, D(E_F) 0.55 states/eV/atom, final energy -23.9 eV per formula unit. Number 26: formation enthalpy at 0 K 0.08 eV/atom, D(E_F) 1.01 states/eV/atom, final energy -23.9 eV per formula unit. Number 27: formation enthalpy at 0 K 0.21 eV/atom, D(E_F) 0.96 states/eV/atom, final energy -35.1 eV per formula unit. Number 28: formation enthalpy at 0 K 0.12 eV/atom, D(E_F) 1.11 states/eV/atom, final energy -8.1 eV per formula unit.